No. 1
This record from the Alexandria database describes Tl2SbBr after structural relaxation. The functional is PBE.

Calculated values
As for the raw formation energy: -1.31 kcal/mol of atoms. As for the size of the total moment: 0.00 Bohr magnetons per cell. The calculation puts the relative energy among the computed polymorphs at 212.9 meV/atom. Its symmetry is Immm (71).

Lattice parameters (Å, degrees): 7.254 7.254 7.254 151.60 135.77 53.41
Fractional coordinates of all 4 atoms:
Sb (0.250, 0.750, 0.500)
Tl (0.039, 0.039, 0.000)
Tl (0.461, 0.461, 0.000)
Br (0.750, 0.250, 0.500)

---

No. 2
This record from the Alexandria database describes Ba5TlTe6 after structural relaxation. The functional is PBE.

Calculated values
As for the raw formation energy: -33.79 kcal/mol of atoms. As for the size of the total moment: 0.00 Bohr magnetons per cell. Its symmetry is C2/m (12).

Lattice parameters (Å, degrees): 8.616 8.619 8.622 60.01 80.41 70.53
Fractional coordinates of all 12 atoms:
Tl (0.000, 0.000, 0.000)
Te (0.752, 0.083, 0.329)
Te (0.248, 0.588, 0.329)
Te (0.248, 0.247, 0.000)
Te (0.752, 0.753, 0.000)
Te (0.752, 0.412, 0.671)
Te (0.248, 0.917, 0.671)
Ba (0.500, 0.166, 0.668)
Ba (0.000, 0.333, 0.334)
Ba (0.500, 0.500, 0.000)
Ba (0.000, 0.667, 0.666)
Ba (0.500, 0.834, 0.332)

---

No. 3
This record from the Alexandria database describes FeRe2Hg after structural relaxation. The functional is PBE.

Calculated values
As for the size of the total moment: 2.95 Bohr magnetons per cell. The calculation puts the relative energy among the computed polymorphs at 0.0 meV/atom. The value obtained for the formation enthalpy at 0 K is 143 kJ/mol of formula units. Its symmetry is R3m (160).

Lattice parameters (Å, degrees): 9.346 9.346 9.346 17.39 17.39 17.39
Fractional coordinates of all 4 atoms:
Fe (0.505, 0.505, 0.505)
Hg (0.753, 0.753, 0.753)
Re (0.992, 0.992, 0.992)
Re (0.250, 0.250, 0.250)

---

No. 4
This record from the Alexandria database describes NiGeTe2 after structural relaxation. The functional is PBE.

Calculated values
As for the raw formation energy: -0.10 kcal/mol of atoms. As for the size of the total moment: 0.00 Bohr magnetons per cell. The calculation puts the relative energy among the computed polymorphs at 0.0 meV/atom. Its symmetry is I-42d (122).

Lattice parameters (Å, degrees): 6.045 6.045 7.401 65.89 65.89 90.00
Fractional coordinates of all 8 atoms:
Ni (0.500, 0.500, 0.000)
Ni (0.250, 0.750, 0.500)
Ge (0.000, 0.000, 0.000)
Ge (0.750, 0.250, 0.500)
Te (0.583, 0.125, 0.250)
Te (0.167, 0.625, 0.250)
Te (0.375, 0.417, 0.750)
Te (0.875, 0.833, 0.750)

---

No. 5
This record from the Alexandria database describes SmTl9Te6 after structural relaxation. The functional is PBE.

Calculated values
As for the raw formation energy: -11.24 kcal/mol of atoms. As for the size of the total moment: 0.00 Bohr magnetons per cell. Its symmetry is I4/m (87).

Lattice parameters (Å, degrees): 9.282 9.282 9.282 122.09 122.09 86.42
Fractional coordinates of all 16 atoms:
Sm (0.000, 0.000, 0.000)
Tl (0.500, 0.500, 0.000)
Tl (0.309, 0.802, 0.795)
Tl (0.007, 0.514, 0.205)
Tl (0.802, 0.007, 0.492)
Tl (0.514, 0.309, 0.508)
Tl (0.691, 0.198, 0.205)
Tl (0.993, 0.486, 0.795)
Tl (0.198, 0.993, 0.508)
Tl (0.486, 0.691, 0.492)
Te (0.234, 0.234, 0.000)
Te (0.766, 0.766, 0.000)
Te (0.325, 0.850, 0.176)
Te (0.675, 0.150, 0.824)
Te (0.850, 0.675, 0.525)
Te (0.150, 0.325, 0.475)

---

No. 6
This record from the Alexandria database describes Pm3Dy2Tl3 after structural relaxation. The functional is PBE.

Calculated values
As for the size of the total moment: 0.37 Bohr magnetons per cell. The value obtained for the formation enthalpy at 0 K is -208 kJ/mol of formula units. Its symmetry is Immm (71).

Lattice parameters (Å, degrees): 4.439 5.057 11.087 103.18 101.55 90.00
Fractional coordinates of all 8 atoms:
Pm (0.620, 0.620, 0.240)
Pm (0.380, 0.380, 0.760)
Pm (0.500, 0.000, 0.000)
Dy (0.737, 0.237, 0.474)
Dy (0.263, 0.763, 0.526)
Tl (0.129, 0.129, 0.259)
Tl (0.000, 0.500, 0.000)
Tl (0.871, 0.871, 0.741)

---

No. 7
This record from the Alexandria database describes Pm3Ho5Er after structural relaxation. The functional is PBE.

Calculated values
As for the size of the total moment: 0.00 Bohr magnetons per cell. The calculation puts the relative energy among the computed polymorphs at 23.1 meV/atom. The value obtained for the formation enthalpy at 0 K is 256 kJ/mol of formula units. Its symmetry is C2/c (15).

Lattice parameters (Å, degrees): 9.586 9.586 11.514 69.41 69.41 38.63
Fractional coordinates of all 18 atoms:
Pm (0.000, 0.000, 0.000)
Pm (0.009, 0.647, 0.374)
Pm (0.000, 0.000, 0.500)
Pm (0.991, 0.353, 0.626)
Pm (0.647, 0.009, 0.874)
Pm (0.353, 0.991, 0.126)
Ho (0.597, 0.403, 0.750)
Ho (0.845, 0.472, 0.988)
Ho (0.535, 0.125, 0.217)
Ho (0.155, 0.528, 0.012)
Ho (0.875, 0.465, 0.283)
Ho (0.403, 0.597, 0.250)
Ho (0.472, 0.845, 0.488)
Ho (0.528, 0.155, 0.512)
Ho (0.125, 0.535, 0.717)
Ho (0.465, 0.875, 0.783)
Er (0.118, 0.882, 0.750)
Er (0.882, 0.118, 0.250)

---

No. 8
This record from the Alexandria database describes Ca4PrHg2 after structural relaxation. The functional is PBE.

Calculated values
As for the size of the total moment: 0.00 Bohr magnetons per cell. The value obtained for the formation enthalpy at 0 K is -84 kJ/mol of formula units. Its symmetry is R-3m (166).

Lattice parameters (Å, degrees): 5.439 5.439 10.502 74.99 74.99 60.00
Fractional coordinates of all 7 atoms:
Ca (0.706, 0.706, 0.881)
Ca (0.899, 0.899, 0.304)
Ca (0.294, 0.294, 0.119)
Ca (0.101, 0.101, 0.696)
Pr (0.500, 0.500, 0.500)
Hg (0.601, 0.601, 0.197)
Hg (0.399, 0.399, 0.803)

---

No. 9
This record from the Alexandria database describes MgTi3Pt4 after structural relaxation. The functional is PBE.

Calculated values
As for the size of the total moment: 2.36 Bohr magnetons per cell. The value obtained for the formation enthalpy at 0 K is -677 kJ/mol of formula units. Its symmetry is Pmma (51).

Lattice parameters (Å, degrees): 4.809 5.671 9.228 90.00 90.00 90.00
Fractional coordinates of all 16 atoms:
Mg (0.000, 0.500, 0.000)
Mg (0.000, 0.500, 0.500)
Pt (0.500, 0.752, 0.000)
Pt (0.500, 0.752, 0.500)
Pt (0.500, 0.248, 0.000)
Pt (0.500, 0.248, 0.500)
Pt (0.113, 0.752, 0.750)
Pt (0.887, 0.752, 0.250)
Pt (0.887, 0.248, 0.250)
Pt (0.113, 0.248, 0.750)
Ti (0.000, 0.000, 0.000)
Ti (0.000, 0.000, 0.500)
Ti (0.608, 0.000, 0.750)
Ti (0.392, 0.000, 0.250)
Ti (0.605, 0.500, 0.750)
Ti (0.395, 0.500, 0.250)

---

No. 10
This record from the Alexandria database describes Sr3Au after structural relaxation. The functional is PBE.

Calculated values
As for the size of the total moment: 0.00 Bohr magnetons per cell. The value obtained for the formation enthalpy at 0 K is -144 kJ/mol of formula units. Its symmetry is R-3m (166).

Lattice parameters (Å, degrees): 11.044 11.044 11.044 23.25 23.25 23.25
Fractional coordinates of all 4 atoms:
Sr (0.722, 0.722, 0.722)
Sr (0.500, 0.500, 0.500)
Sr (0.278, 0.278, 0.278)
Au (0.000, 0.000, 0.000)

---

No. 11
This record from the Alexandria database describes Tb5MgRu after structural relaxation. The functional is PBE.

Calculated values
As for the size of the total moment: 0.00 Bohr magnetons per cell. The value obtained for the formation enthalpy at 0 K is -44 kJ/mol of formula units. Its symmetry is C2/c (15).

Lattice parameters (Å, degrees): 5.943 5.943 11.948 77.47 77.47 78.85
Fractional coordinates of all 14 atoms:
Tb (0.915, 0.590, 0.122)
Tb (0.202, 0.542, 0.568)
Tb (0.590, 0.915, 0.622)
Tb (0.979, 0.021, 0.250)
Tb (0.458, 0.798, 0.932)
Tb (0.542, 0.202, 0.068)
Tb (0.021, 0.979, 0.750)
Tb (0.410, 0.085, 0.378)
Tb (0.798, 0.458, 0.432)
Tb (0.085, 0.410, 0.878)
Mg (0.389, 0.611, 0.250)
Mg (0.611, 0.389, 0.750)
Ru (0.000, 0.000, 0.000)
Ru (0.000, 0.000, 0.500)

---

No. 12
This record from the Alexandria database describes Sm2MnAl after structural relaxation. The functional is PBE.

Calculated values
As for the size of the total moment: 3.01 Bohr magnetons per cell. The calculation puts the relative energy among the computed polymorphs at 0.0 meV/atom. The value obtained for the formation enthalpy at 0 K is -16 kJ/mol of formula units. Its symmetry is P4/mmm (123).

Lattice parameters (Å, degrees): 3.665 3.665 7.264 90.00 90.00 90.00
Fractional coordinates of all 4 atoms:
Mn (0.500, 0.500, 0.500)
Al (0.500, 0.500, 0.000)
Sm (0.000, 0.000, 0.743)
Sm (0.000, 0.000, 0.257)

---

Short version: ρ = 8.045 5.261 16.412 5.814 8.373 9.616 7.732 4.542 12.515 4.144 7.688 6.514 g cm⁻³, in the order given.